(1)
First-principles (PBE) data for a geometry-optimized AgTeIO6 structure, as listed in the Alexandria database.

Cell lengths 5.5025, 5.5025, 10.3894 Å; angles 90.00, 90.00, 120.00 degrees
Atoms (fractional coordinates):
Ag  0.0000  0.0000  0.0000
Ag  0.0000  0.0000  0.5000
Te  0.3333  0.6667  0.2500
Te  0.6667  0.3333  0.7500
I  0.3333  0.6667  0.7500
I  0.6667  0.3333  0.2500
O  0.0226  0.3851  0.1434
O  0.0226  0.6375  0.3566
O  0.3625  0.3851  0.3566
O  0.3625  0.9774  0.1434
O  0.3851  0.0226  0.6434
O  0.3851  0.3625  0.8566
O  0.6149  0.6375  0.1434
O  0.6149  0.9774  0.3566
O  0.6375  0.0226  0.8566
O  0.6375  0.6149  0.6434
O  0.9774  0.3625  0.6434
O  0.9774  0.6149  0.8566

## Properties
As for the crystal system: trigonal. The calculation puts the density of states at the Fermi level at 0.000 states/eV per atom.

(2)
First-principles (PBE) data for a geometry-optimized AgTeIO2 structure, as listed in the Alexandria database.

Cell lengths 7.5979, 4.1788, 8.8573 Å; angles 90.00, 114.20, 90.00 degrees
Atoms (fractional coordinates):
Ag  0.1366  0.2500  0.1113
Ag  0.8634  0.7500  0.8887
Te  0.4118  0.2500  0.6066
Te  0.5882  0.7500  0.3934
I  0.0578  0.2500  0.7678
I  0.9422  0.7500  0.2322
O  0.3791  0.7500  0.1952
O  0.4601  0.7500  0.5589
O  0.5399  0.2500  0.4411
O  0.6209  0.2500  0.8048

## Properties
As for the crystal system: monoclinic. Its distance to the lowest polymorph of the same formula is 0.0000 eV per atom.

| no. | energy (eV/atom) |
| --- | --- |
| 1 | -4.589 |
| 2 | -4.048 |